# 1
# GGA-PBE Nd8Os2Pb, relaxed
data_Nd8Os2Pb
_chemical_formula_sum 'Nd16 Os4 Pb2'
_symmetry_space_group_name_H-M 'C 1 2/m 1'
_symmetry_Int_Tables_number 12
_symmetry_space_group_name_Hall '-C 2y'
_cell_length_a 9.0668
_cell_length_b 13.5380
_cell_length_c 5.6594
_cell_angle_alpha 90.00
_cell_angle_beta 102.92
_cell_angle_gamma 90.00
loop_
_atom_site_label
_atom_site_fract_x
_atom_site_fract_y
_atom_site_fract_z
_atom_site_occupancy
Nd1 0.0000 0.2489 0.0000 1
Nd2 0.1113 0.0000 0.7944 1
Nd3 0.1953 0.3696 0.5712 1
Os1 0.0000 0.1881 0.5000 1
Pb1 0.0000 0.5000 0.0000 1
# Calculated volume = 30.78 Å³ per atom
# Density of states at the Fermi level = 11.69 states/eV/f.u.
# Total magnetic moment = 0.00 Bohr magnetons per cell
# ΔE_f = -121 meV per atom

***

# 2
# GGA-PBE Nd6OsPd2, relaxed
data_Nd6OsPd2
_chemical_formula_sum 'Nd12 Os2 Pd4'
_symmetry_space_group_name_H-M 'P 1 21/c 1'
_symmetry_Int_Tables_number 14
_symmetry_space_group_name_Hall '-P 2ybc'
_cell_length_a 6.7715
_cell_length_b 7.5961
_cell_length_c 12.2335
_cell_angle_alpha 90.00
_cell_angle_beta 121.22
_cell_angle_gamma 90.00
loop_
_atom_site_label
_atom_site_fract_x
_atom_site_fract_y
_atom_site_fract_z
_atom_site_occupancy
Nd1 0.0949 0.1801 0.4317 1
Nd2 0.2579 0.6787 0.4293 1
Nd3 0.4040 0.0425 0.2498 1
Os1 0.5000 0.0000 0.5000 1
Pd1 0.1787 0.1158 0.7397 1
# Calculated volume = 29.90 Å³ per atom
# Density of states at the Fermi level = 8.41 states/eV/f.u.
# Total magnetic moment = 0.00 Bohr magnetons per cell
# ΔE_f = -363 meV per atom

***

# 3
# GGA-PBE Nd5Os2Pd, relaxed
data_Nd5Os2Pd
_chemical_formula_sum 'Nd20 Os8 Pd4'
_symmetry_space_group_name_H-M 'I 4/m c m'
_symmetry_Int_Tables_number 140
_symmetry_space_group_name_Hall '-I 4 2c'
_cell_length_a 7.8067
_cell_length_b 7.8067
_cell_length_c 13.9432
_cell_angle_alpha 90.00
_cell_angle_beta 90.00
_cell_angle_gamma 90.00
loop_
_atom_site_label
_atom_site_fract_x
_atom_site_fract_y
_atom_site_fract_z
_atom_site_occupancy
Nd1 0.0000 0.0000 0.0000 1
Nd2 0.1729 0.3271 0.1376 1
Os1 0.1223 0.3777 0.5000 1
Pd1 0.0000 0.0000 0.2500 1
# Calculated volume = 26.56 Å³ per atom
# Density of states at the Fermi level = 5.99 states/eV/f.u.
# Total magnetic moment = 0.00 Bohr magnetons per cell
# ΔE_f = -251 meV per atom

***

# 4
# GGA-PBE Nd8OsPd2, relaxed
data_Nd8OsPd2
_chemical_formula_sum 'Nd16 Os2 Pd4'
_symmetry_space_group_name_H-M 'C 1 m 1'
_symmetry_Int_Tables_number 8
_symmetry_space_group_name_Hall 'C -2y'
_cell_length_a 8.5945
_cell_length_b 13.1119
_cell_length_c 6.4348
_cell_angle_alpha 90.00
_cell_angle_beta 112.83
_cell_angle_gamma 90.00
loop_
_atom_site_label
_atom_site_fract_x
_atom_site_fract_y
_atom_site_fract_z
_atom_site_occupancy
Nd1 0.0000 0.0000 0.0000 1
Nd2 0.0660 0.3710 0.8182 1
Nd3 0.1325 0.1296 0.5808 1
Nd4 0.2015 0.5000 0.3660 1
Nd5 0.3539 0.1953 0.1878 1
Os1 0.3476 0.0000 0.9841 1
Pd1 0.3445 0.3133 0.6850 1
# Calculated volume = 30.38 Å³ per atom
# Density of states at the Fermi level = 12.13 states/eV/f.u.
# Total magnetic moment = 0.00 Bohr magnetons per cell
# ΔE_f = -206 meV per atom

***

# 5
# GGA-PBE Nd12OsPd6, relaxed
data_Nd12OsPd6
_chemical_formula_sum 'Nd36 Os3 Pd18'
_symmetry_space_group_name_H-M 'R -3'
_symmetry_Int_Tables_number 148
_symmetry_space_group_name_Hall '-R 3'
_cell_length_a 12.7717
_cell_length_b 12.7717
_cell_length_c 12.4546
_cell_angle_alpha 90.00
_cell_angle_beta 90.00
_cell_angle_gamma 120.00
loop_
_atom_site_label
_atom_site_fract_x
_atom_site_fract_y
_atom_site_fract_z
_atom_site_occupancy
Nd1 0.0242 0.8135 0.3932 1
Nd2 0.0436 0.8423 0.8811 1
Os1 0.0000 0.0000 0.0000 1
Pd1 0.0414 0.7759 0.6450 1
# Calculated volume = 30.87 Å³ per atom
# Density of states at the Fermi level = 20.22 states/eV/f.u.
# Total magnetic moment = 0.00 Bohr magnetons per cell
# ΔE_f = -414 meV per atom

***

# 6
# GGA-PBE Nd8OsPd2, relaxed
data_Nd8OsPd2
_chemical_formula_sum 'Nd16 Os2 Pd4'
_symmetry_space_group_name_H-M 'C 1 2/m 1'
_symmetry_Int_Tables_number 12
_symmetry_space_group_name_Hall '-C 2y'
_cell_length_a 17.8974
_cell_length_b 5.1819
_cell_length_c 6.9674
_cell_angle_alpha 90.00
_cell_angle_beta 101.41
_cell_angle_gamma 90.00
loop_
_atom_site_label
_atom_site_fract_x
_atom_site_fract_y
_atom_site_fract_z
_atom_site_occupancy
Nd1 0.0321 0.0000 0.2882 1
Nd2 0.0867 0.5000 0.9336 1
Nd3 0.1626 0.5000 0.4691 1
Nd4 0.2017 0.0000 0.8283 1
Os1 0.0000 0.5000 0.5000 1
Pd1 0.1962 0.0000 0.2369 1
# Calculated volume = 28.79 Å³ per atom
# Density of states at the Fermi level = 12.34 states/eV/f.u.
# Total magnetic moment = 0.00 Bohr magnetons per cell
# ΔE_f = -277 meV per atom

***

# 7
# GGA-PBE PmNdOsPd, relaxed
data_PmNdOsPd
_chemical_formula_sum 'Pm4 Nd4 Os4 Pd4'
_symmetry_space_group_name_H-M 'F -4 3 m'
_symmetry_Int_Tables_number 216
_symmetry_space_group_name_Hall 'F -4 2 3'
_cell_length_a 7.1054
_cell_length_b 7.1054
_cell_length_c 7.1054
_cell_angle_alpha 90.00
_cell_angle_beta 90.00
_cell_angle_gamma 90.00
loop_
_atom_site_label
_atom_site_fract_x
_atom_site_fract_y
_atom_site_fract_z
_atom_site_occupancy
Pm1 0.0000 0.0000 0.0000 1
Nd1 0.0000 0.0000 0.5000 1
Os1 0.2500 0.2500 0.7500 1
Pd1 0.2500 0.2500 0.2500 1
# Calculated volume = 22.42 Å³ per atom
# Density of states at the Fermi level = 3.59 states/eV/f.u.
# Total magnetic moment = 0.00 Bohr magnetons per cell
# ΔE_f = -339 meV per atom

***

# 8
# GGA-PBE PrNdOsPd, relaxed
data_PrNdOsPd
_chemical_formula_sum 'Pr4 Nd4 Os4 Pd4'
_symmetry_space_group_name_H-M 'F -4 3 m'
_symmetry_Int_Tables_number 216
_symmetry_space_group_name_Hall 'F -4 2 3'
_cell_length_a 7.1566
_cell_length_b 7.1566
_cell_length_c 7.1566
_cell_angle_alpha 90.00
_cell_angle_beta 90.00
_cell_angle_gamma 90.00
loop_
_atom_site_label
_atom_site_fract_x
_atom_site_fract_y
_atom_site_fract_z
_atom_site_occupancy
Pr1 0.0000 0.0000 0.0000 1
Nd1 0.0000 0.0000 0.5000 1
Os1 0.2500 0.2500 0.7500 1
Pd1 0.2500 0.2500 0.2500 1
# Calculated volume = 22.91 Å³ per atom
# Density of states at the Fermi level = 3.99 states/eV/f.u.
# Total magnetic moment = 0.00 Bohr magnetons per cell
# ΔE_f = -293 meV per atom